# Ba3TlZn, optimized geometry, DFT PBE-GGA
# - Space group: P6_3/mmc (194)
# - Total DFT energy (no corrections): -1.866 eV per atom
data_Ba3TlZn
_space_group_name_H-M_alt 'P 1'
_space_group_IT_number 1
_space_group_name_Hall 'P 1'
_cell_length_a 10.098
_cell_length_b 10.098
_cell_length_c 5.488
_cell_angle_alpha 90.00
_cell_angle_beta 90.00
_cell_angle_gamma 120.00
loop_
_atom_site_label
_atom_site_type_symbol
_atom_site_fract_x
_atom_site_fract_y
_atom_site_fract_z
Ba1 Ba 0.198 0.395 0.250
Ba2 Ba 0.198 0.802 0.250
Ba3 Ba 0.395 0.198 0.750
Ba4 Ba 0.605 0.802 0.250
Ba5 Ba 0.802 0.198 0.750
Ba6 Ba 0.802 0.605 0.750
Tl1 Tl 0.000 0.000 0.250
Tl2 Tl 0.000 0.000 0.750
Zn1 Zn 0.333 0.667 0.750
Zn2 Zn 0.667 0.333 0.250

# Ba2TlZn, optimized geometry, DFT PBE-GGA
# - Space group: F-43m (216)
# - Total DFT energy (no corrections): -1.926 eV per atom
data_Ba2TlZn
_space_group_name_H-M_alt 'P 1'
_space_group_IT_number 1
_space_group_name_Hall 'P 1'
_cell_length_a 8.182
_cell_length_b 8.182
_cell_length_c 8.182
_cell_angle_alpha 90.00
_cell_angle_beta 90.00
_cell_angle_gamma 90.00
loop_
_atom_site_label
_atom_site_type_symbol
_atom_site_fract_x
_atom_site_fract_y
_atom_site_fract_z
Ba1 Ba 0.000 0.000 0.000
Ba2 Ba 0.000 0.500 0.500
Ba3 Ba 0.250 0.250 0.250
Ba4 Ba 0.250 0.750 0.750
Ba5 Ba 0.500 0.000 0.500
Ba6 Ba 0.500 0.500 0.000
Ba7 Ba 0.750 0.250 0.750
Ba8 Ba 0.750 0.750 0.250
Tl1 Tl 0.000 0.000 0.500
Tl2 Tl 0.000 0.500 0.000
Tl3 Tl 0.500 0.000 0.000
Tl4 Tl 0.500 0.500 0.500
Zn1 Zn 0.250 0.250 0.750
Zn2 Zn 0.250 0.750 0.250
Zn3 Zn 0.750 0.250 0.250
Zn4 Zn 0.750 0.750 0.750

# BaTm, optimized geometry, DFT PBE-GGA
# - Space group: Fm-3m (225)
# - Total DFT energy (no corrections): -2.353 eV per atom
data_BaTm
_space_group_name_H-M_alt 'P 1'
_space_group_IT_number 1
_space_group_name_Hall 'P 1'
_cell_length_a 7.118
_cell_length_b 7.118
_cell_length_c 7.118
_cell_angle_alpha 90.00
_cell_angle_beta 90.00
_cell_angle_gamma 90.00
loop_
_atom_site_label
_atom_site_type_symbol
_atom_site_fract_x
_atom_site_fract_y
_atom_site_fract_z
Ba1 Ba 0.000 0.000 0.000
Ba2 Ba 0.000 0.500 0.500
Ba3 Ba 0.500 0.000 0.500
Ba4 Ba 0.500 0.500 0.000
Tm1 Tm 0.000 0.000 0.500
Tm2 Tm 0.000 0.500 0.000
Tm3 Tm 0.500 0.000 0.000
Tm4 Tm 0.500 0.500 0.500

# BaTm, optimized geometry, DFT PBE-GGA
# - Space group: P-6m2 (187)
# - Total DFT energy (no corrections): -2.849 eV per atom
data_BaTm
_space_group_name_H-M_alt 'P 1'
_space_group_IT_number 1
_space_group_name_Hall 'P 1'
_cell_length_a 3.833
_cell_length_b 3.833
_cell_length_c 6.428
_cell_angle_alpha 90.00
_cell_angle_beta 90.00
_cell_angle_gamma 120.00
loop_
_atom_site_label
_atom_site_type_symbol
_atom_site_fract_x
_atom_site_fract_y
_atom_site_fract_z
Ba1 Ba 0.000 0.000 0.000
Tm1 Tm 0.667 0.333 0.500